Cd8Pt: optimized geometry, PBE.

Cell lengths 9.2363, 9.2363, 4.3850 Å; angles 90.00, 90.00, 90.00 degrees
Space group I4/mmm (No. 139)
Unique sites:
Cd (0.0000, 0.3265, 0.0000) [8 per cell]
Cd (0.1608, 0.1608, 0.5000) [8 per cell]
Pt (0.0000, 0.0000, 0.0000) [2 per cell]

Properties
ΔE to the lowest computed polymorph: 0.00 eV per formula unit
Electronic total energy: -1.533 eV per atom
E_form: -0.048 eV per atom